Computed, not measured: LaMoPb2 after structural relaxation at the PBE-GGA level of DFT.

a b c (Å): 4.9524 4.9524 8.2369
angles (deg): 90.00 90.00 90.00
Space group I4/mmm (No. 139)
One atom of each set of equivalent atoms:
La 0.0000 0.0000 0.0000 [2 per cell]
Mo 0.0000 0.0000 0.5000 [2 per cell]
Pb 0.0000 0.5000 0.2500 [4 per cell]

Output
ΔE_f: 0.23 eV/atom
energy above the most stable polymorph in this dataset: 69 meV per atom
final energy: -5.56 eV per atom
density of states at the Fermi level: 5.8 states/eV per cell